The following is a DFT calculation (PBE-GGA) of an optimized crystal structure of Na2ZnSe2.

Unit cell a=7.7349 b=7.7349 c=10.0909 alpha=125.52 beta=125.52 gamma=41.22
Element x y z (fractional)
Na 0.0666 0.0666 0.2587
Na 0.3263 0.3263 0.9880
Na 0.6737 0.6737 0.0120
Na 0.9334 0.9334 0.7413
Zn 0.3746 0.3746 0.3502
Zn 0.6254 0.6254 0.6498
Se 0.1779 0.1779 0.1015
Se 0.4524 0.4524 0.6434
Se 0.5476 0.5476 0.3566
Se 0.8221 0.8221 0.8985

Properties
ΔE_f (raw) = -0.890 eV/atom
distance to the lowest polymorph of the same formula = 48.8 meV per atom
total energy = -3.07 eV/atom
SG = C2/m, No. 12



The following is a DFT calculation (PBE-GGA) of an optimized crystal structure of MgTlPCl2.

Unit cell a=5.0921 b=5.0921 c=5.2040 alpha=90.00 beta=90.00 gamma=90.00
Element x y z (fractional)
Mg 0.0000 0.0000 0.0000
Tl 0.5000 0.5000 0.5000
P 0.0000 0.0000 0.5000
Cl 0.0000 0.5000 0.0000
Cl 0.5000 0.0000 0.0000

Properties
ΔE_f (raw) = -0.579 eV/atom
distance to the lowest polymorph of the same formula = 0.0 meV per atom
total energy = -3.19 eV/atom
SG = P4/mmm, No. 123



The following is a DFT calculation (PBE-GGA) of an optimized crystal structure of CoIr2W.

Unit cell a=4.1228 b=5.2079 c=5.2079 alpha=30.47 beta=90.00 gamma=90.00
Element x y z (fractional)
Co 0.0000 0.0000 0.0000
Ir 0.0000 0.2541 0.2541
Ir 0.5000 0.5941 0.5941
W 0.5000 0.8642 0.8642

Properties
distance to the lowest polymorph of the same formula = 188.0 meV per atom
total energy = -9.47 eV/atom
SG = Amm2, No. 38
ΔE_f = -0.0263 eV per atom



The following is a DFT calculation (PBE-GGA) of an optimized crystal structure of ZrSb2Os.

Unit cell a=3.2608 b=4.2759 c=6.0114 alpha=90.00 beta=93.86 gamma=90.00
Element x y z (fractional)
Zr 0.0000 0.0000 0.0000
Sb 0.3850 0.5000 0.7456
Sb 0.6150 0.5000 0.2544
Os 0.5000 0.0000 0.5000

Properties
ΔE_f (raw) = 0.110 eV/atom
distance to the lowest polymorph of the same formula = 307.5 meV per atom
total energy = -6.90 eV/atom
SG = P2/m, No. 10



Values of theoretical density, in order: 2.9 4.1 18.4 10.4, all in Mg/m³.